No. 1
The following is a DFT calculation (PBE) of a relaxed structure of NdYHoAl.

Calculated values
The calculation puts the energy above the lowest structure with this stoichiometry at 141 meV per atom. The calculation puts the calculated formation energy at -1.39 kcal/mol of atoms. The calculation puts the density of states at the Fermi level at 6.9 states/eV/f.u. As for the total energy: -19.8 eV per formula unit. For the spin magnetization, the calculation gives 0.553 μB per formula unit.

a b c (Å): 5.4077 5.4077 5.4077
angles (deg): 60.00 60.00 60.00
Element x y z (fractional)
Y1 0.5000 0.5000 0.5000
Nd1 0.0000 0.0000 0.0000
Ho1 0.7500 0.7500 0.7500
Al1 0.2500 0.2500 0.2500

No. 2
The following is a DFT calculation (PBE) of a relaxed structure of Re2TcCl.

Calculated values
The calculation puts the energy above the lowest structure with this stoichiometry at 310 meV per atom. The calculation puts the density of states at the Fermi level at 3.0 states/eV/f.u. As for the total energy: -34.6 eV per formula unit. The uncorrected formation energy comes out at 0.639 eV/atom. For the spin magnetization, the calculation gives 0.000 μB per formula unit.

a b c (Å): 5.2605 5.2605 4.2314
angles (deg): 88.75 88.75 32.00
Element x y z (fractional)
Cl1 0.2500 0.2500 0.2500
Re1 0.0380 0.0380 0.9769
Re2 0.4620 0.4620 0.5231
Tc1 0.7500 0.7500 0.7500

No. 3
The following is a DFT calculation (PBE) of a relaxed structure of BaSr.

Calculated values
The calculation puts the energy above the lowest structure with this stoichiometry at 11 meV per atom. The calculation puts the calculated formation energy at 0.24 kcal/mol of atoms. The calculation puts the density of states at the Fermi level at 3.1 states/eV/f.u. As for the total energy: -3.6 eV per formula unit. For the spin magnetization, the calculation gives 0.000 μB per formula unit.

a b c (Å): 7.1746 8.7217 7.5325
angles (deg): 90.00 90.00 90.00
Element x y z (fractional)
Ba1 0.7500 0.8767 0.0838
Ba2 0.2500 0.3767 0.4162
Ba3 0.7500 0.6233 0.5838
Ba4 0.2500 0.1233 0.9162
Sr1 0.7500 0.3750 0.0805
Sr2 0.2500 0.8750 0.4195
Sr3 0.7500 0.1250 0.5805
Sr4 0.2500 0.6250 0.9195

No. 4
The following is a DFT calculation (PBE) of a relaxed structure of Pu2Ga5Pd2Rh.

Calculated values
The calculation puts the calculated formation energy at -10.94 kcal/mol of atoms. The calculation puts the density of states at the Fermi level at 17.4 states/eV/f.u. As for the total energy: -66.3 eV per formula unit. For the spin magnetization, the calculation gives 11.025 μB per formula unit.

a b c (Å): 2.9080 11.0866 11.0866
angles (deg): 90.00 90.00 90.00
Element x y z (fractional)
Pu1 0.0000 0.6739 0.1739
Pu2 0.0000 0.3261 0.8261
Pu3 0.0000 0.1739 0.3261
Pu4 0.0000 0.8261 0.6739
Ga1 0.5000 0.1870 0.0526
Ga2 0.5000 0.8130 0.9474
Ga3 0.5000 0.0526 0.8130
Ga4 0.5000 0.6870 0.4474
Ga5 0.5000 0.9474 0.1870
Ga6 0.5000 0.3130 0.5526
Ga7 0.5000 0.5526 0.6870
Ga8 0.5000 0.4474 0.3130
Ga9 0.5000 0.5000 0.0000
Ga10 0.5000 0.0000 0.5000
Pd1 0.0000 0.1357 0.6357
Pd2 0.0000 0.8643 0.3643
Pd3 0.0000 0.6357 0.8643
Pd4 0.0000 0.3643 0.1357
Rh1 0.0000 0.0000 0.0000
Rh2 0.0000 0.5000 0.5000

No. 5
The following is a DFT calculation (PBE) of a relaxed structure of YbAlHg2.

Calculated values
The calculation puts the calculated formation energy at -8.50 kcal/mol of atoms. The calculation puts the density of states at the Fermi level at 2.3 states/eV/f.u. As for the total energy: -7.3 eV per formula unit. For the spin magnetization, the calculation gives 0.000 μB per formula unit.

a b c (Å): 5.0155 5.0155 5.0155
angles (deg): 60.00 60.00 60.00
Element x y z (fractional)
Yb1 0.2500 0.2500 0.2500
Hg1 0.0000 0.0000 0.0000
Hg2 0.5000 0.5000 0.5000
Al1 0.7500 0.7500 0.7500

No. 6
The following is a DFT calculation (PBE) of a relaxed structure of Ti2AsRu2.

Calculated values
The calculation puts the energy above the lowest structure with this stoichiometry at 273 meV per atom. The calculation puts the calculated formation energy at -0.87 kcal/mol of atoms. The calculation puts the density of states at the Fermi level at 6.2 states/eV/f.u. As for the total energy: -39.2 eV per formula unit. For the spin magnetization, the calculation gives 1.169 μB per formula unit.

a b c (Å): 3.4595 3.4595 7.5014
angles (deg): 76.67 76.67 90.00
Element x y z (fractional)
Ru1 0.7500 0.2500 0.5000
Ru2 0.2500 0.7500 0.5000
As1 0.0000 0.0000 0.0000
Ti1 0.4011 0.4011 0.1978
Ti2 0.5989 0.5989 0.8022

No. 7
The following is a DFT calculation (PBE) of a relaxed structure of TlCd2CuGe.

Calculated values
The calculation puts the energy above the lowest structure with this stoichiometry at 0 meV per atom. The calculation puts the calculated formation energy at 4.59 kcal/mol of atoms. The calculation puts the density of states at the Fermi level at 2.6 states/eV/f.u. As for the total energy: -11.9 eV per formula unit. For the spin magnetization, the calculation gives 0.000 μB per formula unit.

a b c (Å): 5.1207 5.1207 4.6842
angles (deg): 90.00 90.00 90.00
Element x y z (fractional)
Tl1 0.5000 0.5000 0.5000
Ge1 0.0000 0.0000 0.5000
Cu1 0.0000 0.0000 0.0000
Cd1 0.0000 0.5000 0.0000
Cd2 0.5000 0.0000 0.0000

No. 8
The following is a DFT calculation (PBE) of a relaxed structure of VGaSe3.

Calculated values
The calculation puts the density of states at the Fermi level at 1.4 states/eV/f.u. As for the total energy: -25.6 eV per formula unit. The uncorrected formation energy comes out at -0.593 eV/atom. For the spin magnetization, the calculation gives 2.007 μB per formula unit.

a b c (Å): 3.7848 6.3286 10.4279
angles (deg): 96.28 90.00 90.00
Element x y z (fractional)
V1 0.7500 0.0272 0.1317
V2 0.2500 0.9728 0.8683
Ga1 0.7500 0.4905 0.7369
Ga2 0.2500 0.5095 0.2631
Se1 0.7500 0.7417 0.9542
Se2 0.2500 0.2583 0.0458
Se3 0.7500 0.3247 0.3432
Se4 0.2500 0.6753 0.6568
Se5 0.7500 0.1156 0.7324
Se6 0.2500 0.8844 0.2676

No. 9
The following is a DFT calculation (PBE) of a relaxed structure of Rb2Sc2PaSe6.

Calculated values
The calculation puts the density of states at the Fermi level at 5.4 states/eV/f.u. As for the total energy: -62.2 eV per formula unit. The uncorrected formation energy comes out at -1.563 eV/atom. For the spin magnetization, the calculation gives 1.096 μB per formula unit.

a b c (Å): 6.9859 6.9859 8.5244
angles (deg): 97.79 97.79 120.24
Element x y z (fractional)
Rb1 0.8346 0.1654 0.0000
Rb2 0.1654 0.8346 0.0000
Sc1 0.3329 0.6671 0.5000
Sc2 0.6671 0.3329 0.5000
Pa1 0.0000 0.0000 0.5000
Se1 0.7186 0.7186 0.6872
Se2 0.0625 0.4039 0.6872
Se3 0.2814 0.2814 0.3128
Se4 0.4039 0.0625 0.6872
Se5 0.9375 0.5961 0.3128
Se6 0.5961 0.9375 0.3128

No. 10
The following is a DFT calculation (PBE) of a relaxed structure of MnCr2Pt.

Calculated values
The calculation puts the calculated formation energy at -1.41 kcal/mol of atoms. The calculation puts the density of states at the Fermi level at 4.2 states/eV/f.u. As for the total energy: -34.7 eV per formula unit. For the spin magnetization, the calculation gives 0.500 μB per formula unit.

a b c (Å): 4.5779 4.5779 4.5779
angles (deg): 132.69 132.69 69.14
Element x y z (fractional)
Cr1 0.0000 0.0000 0.0000
Cr2 0.5000 0.5000 0.0000
Mn1 0.2500 0.7500 0.5000
Pt1 0.7500 0.2500 0.5000

No. 11
The following is a DFT calculation (PBE) of a relaxed structure of CaCuAg2F8.

Calculated values
The calculation puts the density of states at the Fermi level at 6.5 states/eV/f.u. As for the total energy: -47.9 eV per formula unit. The uncorrected formation energy comes out at -1.762 eV/atom. For the spin magnetization, the calculation gives 1.408 μB per formula unit.

a b c (Å): 6.2885 6.2885 6.2885
angles (deg): 114.46 114.46 99.91
Element x y z (fractional)
Ca1 0.2500 0.7500 0.5000
Cu1 0.0000 0.0000 0.0000
Ag1 0.7500 0.2500 0.5000
Ag2 0.5000 0.5000 0.0000
F1 0.3047 0.0293 0.2754
F2 0.2960 0.4822 0.1862
F3 0.2960 0.1098 0.8138
F4 0.7540 0.0293 0.7246
F5 0.8902 0.7040 0.1862
F6 0.9707 0.2460 0.2754
F7 0.9707 0.6953 0.7246
F8 0.5178 0.7040 0.8138

No. 12
The following is a DFT calculation (PBE) of a relaxed structure of LiAs2Au.

Calculated values
The calculation puts the energy above the lowest structure with this stoichiometry at 210 meV per atom. The calculation puts the calculated formation energy at -0.61 kcal/mol of atoms. The calculation puts the density of states at the Fermi level at 1.2 states/eV/f.u. As for the total energy: -14.6 eV per formula unit. For the spin magnetization, the calculation gives 0.000 μB per formula unit.

a b c (Å): 2.9151 2.9151 8.3210
angles (deg): 90.00 90.00 90.00
Element x y z (fractional)
As1 0.0000 0.0000 0.9811
As2 0.0000 0.0000 0.5189
Au1 0.5000 0.5000 0.2500
Li1 0.5000 0.5000 0.7500